No. 1
# Ba3Ta2 GGA-PBE relaxed
# energy: -69.65 eV/cell
# calculated formation energy: 28.9 kcal/mol of atoms
# DOS(E_F): 1.582 states/eV per atom
data_Ba3Ta2
_space_group_name_H-M_alt 'R -3 m'
_space_group_IT_number 166
_space_group_name_Hall '-R 3 2"'
_cell_length_a 3.4597
_cell_length_b 3.4597
_cell_length_c 45.8341
_cell_angle_alpha 90.00
_cell_angle_beta 90.00
_cell_angle_gamma 120.00
loop_
_atom_site_label
_atom_site_fract_x
_atom_site_fract_y
_atom_site_fract_z
Ba1 0.0000 0.0000 0.0000
Ba2 0.0000 0.0000 0.2107
Ta1 0.0000 0.0000 0.3963

No. 2
# HoMnTe3 GGA-PBE relaxed
# uncorrected formation energy: -0.72 eV/atom
# energy: -53.55 eV/cell
# DOS(E_F): 0.320 states/eV per atom
data_HoMnTe3
_space_group_name_H-M_alt 'P 1 21/m 1'
_space_group_IT_number 11
_space_group_name_Hall '-P 2yb'
_cell_length_a 7.842
_cell_length_b 4.195
_cell_length_c 8.563
_cell_angle_alpha 90.00
_cell_angle_beta 94.11
_cell_angle_gamma 90.00
loop_
_atom_site_label
_atom_site_fract_x
_atom_site_fract_y
_atom_site_fract_z
Ho1 0.120 0.250 0.284
Mn1 0.353 0.750 0.834
Te1 0.125 0.250 0.903
Te2 0.224 0.750 0.535
Te3 0.400 0.750 0.161

> Which of these has the lowest DOS(E_F)?

HoMnTe3

> Which formula does entry 2 have?

HoMnTe3

> What is the DOS(E_F) in the first record?

1.582 states/eV per atom